1.
# PBE LiCd4Ag5, optimized geometry
data_LiCd4Ag5
_symmetry_space_group_name_H-M 'P 1'
_symmetry_Int_Tables_number 1
_cell_length_a 6.597
_cell_length_b 6.597
_cell_length_c 6.597
_cell_angle_alpha 101.11
_cell_angle_beta 101.11
_cell_angle_gamma 127.93
loop_
_symmetry_equiv_pos_as_xyz
'x,y,z'
loop_
_atom_site_label
_atom_site_fract_x
_atom_site_fract_y
_atom_site_fract_z
Li1 0.000 0.000 0.000
Cd1 0.084 0.826 0.382
Cd2 0.444 0.702 0.618
Cd3 0.702 0.084 0.258
Cd4 0.826 0.444 0.742
Ag1 0.026 0.156 0.659
Ag2 0.156 0.497 0.130
Ag3 0.367 0.026 0.870
Ag4 0.497 0.367 0.341
Ag5 0.569 0.569 0.000
# energy of formation	37	meV per atom
# electronic total energy	-19.5	eV/cell
# theoretical density	8.1	g/cm3
# energy relative to the lowest polymorph listed for this composition	138	meV/atom
# space-group type	I4

=====

2.
# PBE LiCd4Ag4, optimized geometry
data_LiCd4Ag4
_symmetry_space_group_name_H-M 'P 1'
_symmetry_Int_Tables_number 1
_cell_length_a 6.685
_cell_length_b 6.685
_cell_length_c 6.685
_cell_angle_alpha 95.84
_cell_angle_beta 95.84
_cell_angle_gamma 142.81
loop_
_symmetry_equiv_pos_as_xyz
'x,y,z'
loop_
_atom_site_label
_atom_site_fract_x
_atom_site_fract_y
_atom_site_fract_z
Li1 0.000 0.000 0.000
Cd1 0.334 0.334 0.668
Cd2 0.334 0.666 0.000
Cd3 0.666 0.334 0.000
Cd4 0.666 0.666 0.332
Ag1 0.000 0.333 0.333
Ag2 0.000 0.667 0.667
Ag3 0.333 0.000 0.333
Ag4 0.667 0.000 0.667
# energy of formation	-103	meV per atom
# electronic total energy	-17.9	eV/cell
# theoretical density	8.6	g/cm3
# space-group type	I4/mmm

=====

3.
# PBE LiCdAg5, optimized geometry
data_LiCdAg5
_symmetry_space_group_name_H-M 'P 1'
_symmetry_Int_Tables_number 1
_cell_length_a 6.666
_cell_length_b 6.666
_cell_length_c 6.666
_cell_angle_alpha 111.92
_cell_angle_beta 87.85
_cell_angle_gamma 131.61
loop_
_symmetry_equiv_pos_as_xyz
'x,y,z'
loop_
_atom_site_label
_atom_site_fract_x
_atom_site_fract_y
_atom_site_fract_z
Li1 0.000 0.000 0.000
Cd1 0.215 0.715 0.500
Ag1 0.191 0.437 0.754
Ag2 0.489 0.307 0.818
Ag3 0.489 0.671 0.182
Ag4 0.684 0.437 0.246
Ag5 0.720 0.220 0.500
# energy of formation	358	meV per atom
# electronic total energy	-14.6	eV/cell
# theoretical density	5.6	g/cm3
# energy relative to the lowest polymorph listed for this composition	367	meV/atom
# space-group type	Imm2

=====

4.
# PBE Li2Cd3Ag, optimized geometry
data_Li2Cd3Ag
_symmetry_space_group_name_H-M 'P 1'
_symmetry_Int_Tables_number 1
_cell_length_a 3.440
_cell_length_b 3.440
_cell_length_c 9.444
_cell_angle_alpha 90.00
_cell_angle_beta 90.00
_cell_angle_gamma 90.00
loop_
_symmetry_equiv_pos_as_xyz
'x,y,z'
loop_
_atom_site_label
_atom_site_fract_x
_atom_site_fract_y
_atom_site_fract_z
Li1 0.000 0.000 0.167
Li2 0.000 0.000 0.833
Cd1 0.500 0.500 0.000
Cd2 0.500 0.500 0.326
Cd3 0.500 0.500 0.674
Ag1 0.000 0.000 0.500
# energy of formation	-204	meV per atom
# electronic total energy	-10.6	eV/cell
# theoretical density	6.8	g/cm3
# energy relative to the lowest polymorph listed for this composition	0	meV/atom
# space-group type	P4/mmm

=====

5.
# PBE LiCd2Ag8, optimized geometry
data_LiCd2Ag8
_symmetry_space_group_name_H-M 'P 1'
_symmetry_Int_Tables_number 1
_cell_length_a 7.810
_cell_length_b 7.810
_cell_length_c 6.768
_cell_angle_alpha 106.71
_cell_angle_beta 106.71
_cell_angle_gamma 30.45
loop_
_symmetry_equiv_pos_as_xyz
'x,y,z'
loop_
_atom_site_label
_atom_site_fract_x
_atom_site_fract_y
_atom_site_fract_z
Li1 0.000 0.000 0.000
Cd1 0.275 0.275 0.357
Cd2 0.725 0.725 0.643
Ag1 0.089 0.089 0.449
Ag2 0.179 0.179 0.912
Ag3 0.369 0.369 0.824
Ag4 0.456 0.456 0.270
Ag5 0.544 0.544 0.730
Ag6 0.631 0.631 0.176
Ag7 0.821 0.821 0.088
Ag8 0.911 0.911 0.551
# energy of formation	-62	meV per atom
# electronic total energy	-27.2	eV/cell
# theoretical density	9.1	g/cm3
# energy relative to the lowest polymorph listed for this composition	0	meV/atom
# space-group type	C2/m

=====

6.
# PBE Li3Cd5Ag3, optimized geometry
data_Li3Cd5Ag3
_symmetry_space_group_name_H-M 'P 1'
_symmetry_Int_Tables_number 1
_cell_length_a 9.447
_cell_length_b 9.447
_cell_length_c 2.924
_cell_angle_alpha 90.00
_cell_angle_beta 90.00
_cell_angle_gamma 120.00
loop_
_symmetry_equiv_pos_as_xyz
'x,y,z'
loop_
_atom_site_label
_atom_site_fract_x
_atom_site_fract_y
_atom_site_fract_z
Li1 0.000 0.173 0.000
Li2 0.173 0.000 0.000
Li3 0.827 0.827 0.000
Cd1 0.000 0.674 0.000
Cd2 0.326 0.326 0.000
Cd3 0.333 0.667 0.000
Cd4 0.667 0.333 0.000
Cd5 0.674 0.000 0.000
Ag1 0.000 0.412 0.500
Ag2 0.412 0.000 0.500
Ag3 0.588 0.588 0.500
# energy of formation	36	meV per atom
# electronic total energy	-18.5	eV/cell
# theoretical density	6.7	g/cm3
# space-group type	P-62m